(1)
The following is a DFT calculation (PBE) of TbHo4Tl7 after structural relaxation.

Results
DFT total energy: -0.2493 Ry per atom
Formation enthalpy at 0 K: -2.32 kcal/mol of atoms

Cell: 13.4580 5.6706 11.3412 Å, 90.00 123.55 90.00°
Space group C2/m (No. 12)
One atom of each set of equivalent atoms:
1 Tb 0.0000 0.0000 0.0000 (multiplicity 2)
2 Ho 0.0844 0.5000 0.7831 (multiplicity 4)
3 Ho 0.2193 0.5000 0.3271 (multiplicity 4)
4 Tl 0.0000 0.5000 0.0000 (multiplicity 2)
5 Tl 0.0815 0.0000 0.3271 (multiplicity 4)
6 Tl 0.1338 0.5000 0.5446 (multiplicity 4)
7 Tl 0.2138 0.0000 0.8961 (multiplicity 4)


(2)
The following is a DFT calculation (PBE) of Tb14HoTl after structural relaxation.

Results
DFT total energy: -0.3307 Ry per atom
Formation enthalpy at 0 K: -0.31 kcal/mol of atoms

Cell: 7.0558 7.0558 10.0350 Å, 90.00 90.00 90.00°
Space group P4/mmm (No. 123)
One atom of each set of equivalent atoms:
1 Tb 0.0000 0.0000 0.0000 (multiplicity 1)
2 Tb 0.0000 0.5000 0.0000 (multiplicity 2)
3 Tb 0.0000 0.5000 0.5000 (multiplicity 2)
4 Tb 0.2497 0.2497 0.2523 (multiplicity 8)
5 Tb 0.5000 0.5000 0.0000 (multiplicity 1)
6 Ho 0.0000 0.0000 0.5000 (multiplicity 1)
7 Tl 0.5000 0.5000 0.5000 (multiplicity 1)


(3)
The following is a DFT calculation (PBE) of Tb5HoTl5 after structural relaxation.

Results
DFT total energy: -0.2723 Ry per atom
Formation enthalpy at 0 K: -2.51 kcal/mol of atoms

Cell: 16.3155 5.8597 7.1154 Å, 90.00 99.33 90.00°
Space group C2/m (No. 12)
One atom of each set of equivalent atoms:
1 Tb 0.0000 0.0000 0.0000 (multiplicity 2)
2 Tb 0.1374 0.5000 0.9045 (multiplicity 4)
3 Tb 0.1753 0.5000 0.4149 (multiplicity 4)
4 Ho 0.0000 0.0000 0.5000 (multiplicity 2)
5 Tl 0.0000 0.5000 0.5000 (multiplicity 2)
6 Tl 0.1684 0.0000 0.7726 (multiplicity 4)
7 Tl 0.1749 0.0000 0.2281 (multiplicity 4)


(4)
The following is a DFT calculation (PBE) of Tb4Ho2Tl after structural relaxation.

Results
Relative energy among the computed polymorphs: 0.000 eV/atom
DFT total energy: -0.3181 Ry per atom
Formation enthalpy at 0 K: -0.83 kcal/mol of atoms

Cell: 3.5372 21.1835 11.5326 Å, 90.00 90.12 90.00°
Space group P2_1/c (No. 14)
One atom of each set of equivalent atoms:
1 Tb 0.2452 0.2446 0.1716 (multiplicity 4)
2 Tb 0.2462 0.5420 0.6158 (multiplicity 4)
3 Tb 0.2478 0.0377 0.3837 (multiplicity 4)
4 Tb 0.2515 0.6880 0.0739 (multiplicity 4)
5 Ho 0.2530 0.1005 0.6497 (multiplicity 4)
6 Ho 0.2546 0.6037 0.3427 (multiplicity 4)
7 Tl 0.2533 0.1743 0.9172 (multiplicity 4)


(5)
The following is a DFT calculation (PBE) of TbHo4Tl2 after structural relaxation.

Results
Relative energy among the computed polymorphs: 0.142 eV/atom
DFT total energy: -0.2835 Ry per atom
Formation enthalpy at 0 K: 2.23 kcal/mol of atoms

Cell: 5.2635 5.2635 28.5923 Å, 90.00 90.00 120.00°
Space group R-3m (No. 166, hexagonal axes)
One atom of each set of equivalent atoms:
1 Tb 0.0000 0.0000 0.0000 (multiplicity 3)
2 Ho 0.0000 0.0000 0.2146 (multiplicity 6)
3 Ho 0.0000 0.0000 0.3796 (multiplicity 6)
4 Tl 0.0000 0.0000 0.1052 (multiplicity 6)


(6)
The following is a DFT calculation (PBE) of Tb4HoTl3 after structural relaxation.

Results
DFT total energy: -0.2879 Ry per atom
Formation enthalpy at 0 K: -3.27 kcal/mol of atoms

Cell: 3.5968 8.8776 14.9745 Å, 90.00 90.00 90.00°
Space group Immm (No. 71)
One atom of each set of equivalent atoms:
1 Tb 0.0000 0.1990 0.1376 (multiplicity 8)
2 Ho 0.0000 0.5000 0.0000 (multiplicity 2)
3 Tl 0.0000 0.0000 0.3155 (multiplicity 4)
4 Tl 0.0000 0.5000 0.5000 (multiplicity 2)


(7)
The following is a DFT calculation (PBE) of Tb4Ho9Tl11 after structural relaxation.

Results
DFT total energy: -0.2816 Ry per atom
Formation enthalpy at 0 K: -5.96 kcal/mol of atoms

Cell: 16.1465 22.9687 3.5703 Å, 90.00 90.00 90.00°
Space group Cmmm (No. 65)
One atom of each set of equivalent atoms:
1 Tb 0.1670 0.0814 0.0000 (multiplicity 8)
2 Ho 0.0000 0.0000 0.0000 (multiplicity 2)
3 Ho 0.1095 0.4061 0.0000 (multiplicity 8)
4 Ho 0.1136 0.2274 0.0000 (multiplicity 8)
5 Tl 0.0000 0.1234 0.5000 (multiplicity 4)
6 Tl 0.0000 0.3134 0.5000 (multiplicity 4)
7 Tl 0.0000 0.5000 0.5000 (multiplicity 2)
8 Tl 0.2113 0.5000 0.5000 (multiplicity 4)
9 Tl 0.2298 0.3199 0.5000 (multiplicity 8)


(8)
The following is a DFT calculation (PBE) of Tb15Ho4Tl after structural relaxation.

Results
DFT total energy: -0.3327 Ry per atom
Formation enthalpy at 0 K: -0.46 kcal/mol of atoms

Cell: 4.9732 4.9732 25.1975 Å, 90.00 90.00 90.00°
Space group P4/mmm (No. 123)
One atom of each set of equivalent atoms:
1 Tb 0.0000 0.0000 0.0000 (multiplicity 1)
2 Tb 0.0000 0.0000 0.1964 (multiplicity 2)
3 Tb 0.0000 0.0000 0.3987 (multiplicity 2)
4 Tb 0.0000 0.5000 0.0977 (multiplicity 4)
5 Tb 0.0000 0.5000 0.2986 (multiplicity 4)
6 Tb 0.0000 0.5000 0.5000 (multiplicity 2)
7 Ho 0.5000 0.5000 0.1984 (multiplicity 2)
8 Ho 0.5000 0.5000 0.3994 (multiplicity 2)
9 Tl 0.5000 0.5000 0.0000 (multiplicity 1)